Compound: Sm6HoCd5
Source: the Alexandria database
Functional: PBE-GGA
Structure: relaxed

Cell and atoms, written as extended XYZ:
```
12
Lattice="-2.684 3.901 8.142 2.684 -3.901 8.142 2.684 3.901 -8.142" Properties=species:S:1:pos:R:3 pbc="T T T"
Sm 2.684 1.906 -2.781
Sm 0.000 1.817 0.000
Sm 2.684 1.906 2.781
Sm 0.000 1.996 5.361
Sm 0.000 5.985 0.000
Sm 0.000 1.996 10.923
Ho 0.000 0.000 8.142
Cd 2.684 0.000 0.000
Cd 0.000 0.000 2.744
Cd 2.684 0.000 5.627
Cd 0.000 3.901 2.515
Cd 0.000 0.000 13.540
```

Electronic total energy: -3.3448 eV/atom
Crystal system: orthorhombic
Total magnetization: 0.00 μB/f.u.
Energy relative to the elements: -222 meV/atom

Compound: CrCuGe2Cl
Source: the Alexandria database
Functional: PBE-GGA
Structure: relaxed

Cell and atoms, written as extended XYZ:
```
5
Lattice="5.071 0.000 0.000 0.000 5.071 0.000 0.000 0.000 4.265" Properties=species:S:1:pos:R:3 pbc="T T T"
Cr 0.000 0.000 0.000
Cu 2.536 2.536 0.000
Ge 0.000 2.536 2.133
Ge 2.536 0.000 2.133
Cl 2.536 2.536 2.133
```

Formation energy (no corrections): 962 meV/atom
Electronic total energy: -3.9985 eV/atom
Crystal system: tetragonal
Total magnetization: 4.23 μB/f.u.

Compound: Ce2YPb
Source: the Alexandria database
Functional: PBE-GGA
Structure: relaxed

Cell and atoms, written as extended XYZ:
```
4
Lattice="1.672 0.965 12.107 -1.672 0.965 12.107 0.000 -1.930 12.107" Properties=species:S:1:pos:R:3 pbc="T T T"
Ce 0.000 0.000 3.198
Ce 0.000 0.000 33.123
Y 0.000 0.000 0.000
Pb 0.000 0.000 18.160
```

Electronic total energy: -5.4192 eV/atom
Excess energy over the best structure of this formula in the dataset: 0.396 eV/atom
Crystal system: trigonal
Total magnetization: 1.02 μB/f.u.
Energy relative to the elements: 91 meV/atom